# 1
Crystalline NiTe4I at its relaxed geometry. Source: Alexandria, functional GGA-PBE.

Properties
The value obtained for the raw total energy is -0.2400 Ry/atom. Its space group is C2/m (12).

a = 10.6374 Å, b = 10.6374 Å, c = 5.8272 Å
α = 96.32°, β = 96.32°, γ = 40.88°
Element x y z (fractional)
Ni (0.0426, 0.0426, 0.2104)
Ni (0.9574, 0.9574, 0.7896)
Te (0.1624, 0.6683, 0.0356)
Te (0.1773, 0.1773, 0.2304)
Te (0.2207, 0.7793, 0.5000)
Te (0.3317, 0.8376, 0.9644)
Te (0.6683, 0.1624, 0.0356)
Te (0.7793, 0.2207, 0.5000)
Te (0.8227, 0.8227, 0.7696)
Te (0.8376, 0.3317, 0.9644)
I (0.3187, 0.3187, 0.5210)
I (0.6813, 0.6813, 0.4790)

# 2
Crystalline Hg2IrSe at its relaxed geometry. Source: Alexandria, functional GGA-PBE.

Properties
The value obtained for the raw total energy is -0.1944 Ry/atom. Its space group is Pmmm (47).

a = 3.1570 Å, b = 4.8857 Å, c = 5.0495 Å
α = 90.00°, β = 90.00°, γ = 90.00°
Element x y z (fractional)
Hg (0.0000, 0.0000, 0.0000)
Hg (0.5000, 0.5000, 0.0000)
Ir (0.0000, 0.5000, 0.5000)
Se (0.5000, 0.0000, 0.5000)

# 3
Crystalline AlMo3 at its relaxed geometry. Source: Alexandria, functional GGA-PBE.

Properties
The calculation puts the offset from the most stable computed form at 346 meV/atom. Its space group is Cmmm (65). The calculated formation energy is 93.8 meV/atom.

a = 5.0767 Å, b = 5.0767 Å, c = 2.7171 Å
α = 90.00°, β = 90.00°, γ = 116.11°
Element x y z (fractional)
Al (0.0000, 0.0000, 0.0000)
Mo (0.0000, 0.5000, 0.5000)
Mo (0.5000, 0.0000, 0.5000)
Mo (0.5000, 0.5000, 0.0000)

# 4
Crystalline Ac4Hg2Os at its relaxed geometry. Source: Alexandria, functional GGA-PBE.

Properties
The calculation puts the offset from the most stable computed form at 0 meV/atom. Its space group is C2/m (12). The calculated formation energy is -288.9 meV/atom.

a = 7.5268 Å, b = 7.5268 Å, c = 9.4955 Å
α = 122.04°, β = 122.04°, γ = 33.99°
Element x y z (fractional)
Ac (0.0804, 0.0804, 0.3600)
Ac (0.3426, 0.3426, 0.9330)
Ac (0.6574, 0.6574, 0.0670)
Ac (0.9196, 0.9196, 0.6400)
Hg (0.3751, 0.3751, 0.3261)
Hg (0.6249, 0.6249, 0.6739)
Os (0.0000, 0.0000, 0.0000)

# 5
Crystalline PaZnPt4 at its relaxed geometry. Source: Alexandria, functional GGA-PBE.

Properties
Its space group is P-1 (2). The calculated formation energy is -650.9 meV/atom.

a = 4.1461 Å, b = 5.4246 Å, c = 5.7030 Å
α = 95.69°, β = 111.30°, γ = 112.36°
Element x y z (fractional)
Pa (0.0000, 0.0000, 0.0000)
Zn (0.5000, 0.5000, 0.5000)
Pt (0.1732, 0.5429, 0.8035)
Pt (0.3853, 0.0895, 0.6817)
Pt (0.6147, 0.9105, 0.3183)
Pt (0.8268, 0.4571, 0.1965)

# 6
Crystalline Ce2SmGaN5 at its relaxed geometry. Source: Alexandria, functional GGA-PBE.

Properties
The value obtained for the raw total energy is -0.5654 Ry/atom. Its space group is Cmc2_1 (36).

a = 7.0356 Å, b = 7.0356 Å, c = 11.2380 Å
α = 90.00°, β = 90.00°, γ = 151.23°
Element x y z (fractional)
Ce (0.1236, 0.8764, 0.5000)
Ce (0.1335, 0.8665, 0.9390)
Ce (0.8665, 0.1335, 0.4390)
Ce (0.8764, 0.1236, 0.0000)
Sm (0.2099, 0.7901, 0.2273)
Sm (0.7901, 0.2099, 0.7273)
Ga (0.4942, 0.5058, 0.2331)
Ga (0.5058, 0.4942, 0.7331)
N (0.0423, 0.9577, 0.3000)
N (0.2841, 0.7159, 0.5750)
N (0.2984, 0.7016, 0.8897)
N (0.3649, 0.6351, 0.3089)
N (0.4836, 0.5164, 0.0553)
N (0.5164, 0.4836, 0.5553)
N (0.6351, 0.3649, 0.8089)
N (0.7016, 0.2984, 0.3897)
N (0.7159, 0.2841, 0.0750)
N (0.9577, 0.0423, 0.8000)

# 7
Crystalline K2ZrAg at its relaxed geometry. Source: Alexandria, functional GGA-PBE.

Properties
The calculation puts the offset from the most stable computed form at 125 meV/atom. Its space group is Cm (8). The calculated formation energy is 519.1 meV/atom.

a = 3.8829 Å, b = 3.8829 Å, c = 12.2048 Å
α = 93.25°, β = 93.25°, γ = 48.61°
Element x y z (fractional)
K (0.0000, 0.0000, 0.0000)
K (0.2288, 0.2288, 0.6552)
Zr (0.4687, 0.4687, 0.3831)
Ag (0.7430, 0.7430, 0.2232)

# 8
Crystalline Pr3Al4Pd4 at its relaxed geometry. Source: Alexandria, functional GGA-PBE.

Properties
The calculation puts the offset from the most stable computed form at 0 meV/atom. Its space group is I-43m (217). The calculated formation energy is -720.1 meV/atom.

a = 6.7674 Å, b = 6.7674 Å, c = 6.7674 Å
α = 109.47°, β = 109.47°, γ = 109.47°
Element x y z (fractional)
Pr (0.0000, 0.5000, 0.5000)
Pr (0.5000, 0.0000, 0.5000)
Pr (0.5000, 0.5000, 0.0000)
Al (0.0000, 0.0000, 0.7429)
Al (0.0000, 0.7429, 0.0000)
Al (0.2571, 0.2571, 0.2571)
Al (0.7429, 0.0000, 0.0000)
Pd (0.0000, 0.0000, 0.3808)
Pd (0.0000, 0.3808, 0.0000)
Pd (0.3808, 0.0000, 0.0000)
Pd (0.6192, 0.6192, 0.6192)